Record 1
VASP calculation (PBE-GGA) on crystalline CrInCuTe3 at its relaxed geometry.

a b c (Å): 3.9649 8.3158 10.2503
angles (deg): 111.68 90.00 90.00
With the nearest neighbours (Å) after each atom.
Positions (direct):
1 Te 0.2500 0.5493 0.8754  3 Cr 2.74-2.75
2 In 0.7500 0.7440 0.7145  6 Te 3.32-3.40
3 Te 0.7500 0.4507 0.1246  3 Cr 2.74-2.75
4 Te 0.2500 0.0858 0.8505  1 Cu 2.60, 2 Cr 2.74
5 In 0.2500 0.2560 0.2855  6 Te 3.32-3.40
6 Cr 0.7500 0.3070 0.8369  6 Te 2.74-2.75
7 Cr 0.2500 0.6930 0.1631  6 Te 2.74-2.75
8 Cu 0.7500 0.9250 0.4065  4 Te 2.60-2.66, 2 Cu 2.72
9 Te 0.7500 0.9142 0.1495  1 Cu 2.60, 2 Cr 2.74
10 Te 0.2500 0.7378 0.4428  3 Cu 2.63-2.66, 1 Cr 2.75
11 Te 0.7500 0.2622 0.5572  3 Cu 2.63-2.66, 1 Cr 2.75
12 Cu 0.2500 0.0750 0.5935  4 Te 2.60-2.66, 2 Cu 2.72

Computed properties:
* magnetization: 2.64 μB/f.u.
* E_tot: -4.482 eV per atom
* ΔE_f (raw): -0.168 eV per atom



Record 2
VASP calculation (PBE-GGA) on crystalline Tl2CrInCu at its relaxed geometry.

a b c (Å): 5.7451 5.3309 5.7451
angles (deg): 90.00 90.00 90.00
With the nearest neighbours (Å) after each atom.
Positions (direct):
1 In 0.0000 0.0000 0.0000  2 Cr 2.67, 4 Tl 2.87
2 Cu 0.5000 0.5000 0.5000  8 Tl 3.92, 4 Cr 4.06
3 Cr 0.0000 0.5000 0.0000  2 In 2.67
4 Tl 0.0000 0.0000 0.5000  2 In 2.87
5 Tl 0.5000 0.0000 0.0000  2 In 2.87

Computed properties:
* magnetization: 4.70 μB/f.u.
* E_tot: -3.176 eV per atom
* energy of formation: 1062.3 meV/atom



Record 3
VASP calculation (PBE-GGA) on crystalline CrCuIr at its relaxed geometry.

a b c (Å): 2.6543 2.6543 6.4402
angles (deg): 90.00 90.00 120.00
With the nearest neighbours (Å) after each atom.
Positions (direct):
1 Cr 0.0000 0.0000 0.9944  3 Ir 2.54, 3 Cu 2.62, 6 Cr 2.65
2 Cu 0.6667 0.3333 0.3252  3 Cr 2.62, 6 Cu 2.65, 3 Ir 2.75
3 Ir 0.3333 0.6667 0.6804  3 Cr 2.54, 6 Ir 2.65, 3 Cu 2.75

Computed properties:
* magnetization: 0.00 μB/f.u.
* E above lowest polymorph: 0.067 eV/atom
* E_tot: -7.467 eV per atom
* energy of formation: 60.2 meV/atom



Record 4
VASP calculation (PBE-GGA) on crystalline CrCuIr2 at its relaxed geometry.

a b c (Å): 2.6933 2.6933 7.3780
angles (deg): 90.00 90.00 90.00
With the nearest neighbours (Å) after each atom.
Positions (direct):
1 Ir 0.0000 0.0000 0.9928  4 Cu 2.65, 8 Ir 2.69-2.75
2 Cu 0.5000 0.5000 0.7431  4 Cr 2.60, 4 Ir 2.65, 4 Cu 2.69
3 Ir 0.5000 0.5000 0.2616  4 Cr 2.60, 8 Ir 2.69-2.75
4 Cr 0.0000 0.0000 0.5025  4 Cu 2.60, 4 Ir 2.60, 4 Cr 2.69

Computed properties:
* magnetization: 0.75 μB/f.u.
* E_tot: -7.739 eV per atom
* energy of formation: 121.8 meV/atom